{"formula": "Li2CrRh", "functional": "PBE-GGA", "state": "optimized geometry", "n_ef_per_ev_cell": 4.080, "e_tot_ev_per_atom": -5.082, "de_polymorph_mev_per_atom": 43.6, "crystal_system": "tetragonal", "density_g_cm3": 5.0, "formation_enthalpy_0k_mev_per_atom": 118, "lattice": [[-2.7848, -1.1813, -4.0422], [2.0443, -2.6196, -3.8011], [-0.3269, -0.2544, 5.0317]], "species": ["Li", "Li", "Cr", "Rh"], "frac_coords": [[0.5000, 0.5000, 0.0000], [0.0000, 0.0000, 0.0000], [0.7500, 0.2500, 0.5000], [0.2500, 0.7500, 0.5000]]}